{
  "formula": "CsBa2Sr2",
  "functional": "PBE",
  "state": "relaxed",
  "cell": [[-2.666, 4.922, 0.484], [-4.537, -2.653, 1.987], [0.417, 2.261, 11.912]],
  "species": ["Ba", "Ba", "Sr", "Sr", "Cs"],
  "frac_coords": [[0.605, 0.605, 0.791], [0.395, 0.395, 0.209], [0.750, 0.250, 0.500], [0.250, 0.750, 0.500], [0.000, 0.000, 0.000]],
  "crystal_system": "tetragonal",
  "delta_e_f_ev_per_fu": 1.360,
  "space_group": "I4/mmm (139)",
  "de_polymorph_mev_per_atom": 134
}

---

{
  "formula": "Er8AsP3S4",
  "functional": "PBE",
  "state": "relaxed",
  "cell": [[-1.824, -1.181, -7.574], [-0.701, -7.717, 1.372], [-4.131, 5.161, 4.289]],
  "species": ["S", "S", "S", "S", "Er", "Er", "Er", "Er", "Er", "Er", "Er", "Er", "P", "P", "P", "As"],
  "frac_coords": [[0.500, 0.000, 0.500], [0.500, 0.000, 0.000], [0.000, 0.000, 0.500], [0.000, 0.000, 0.000], [0.251, 0.744, 0.994], [0.253, 0.259, 0.506], [0.749, 0.256, 0.498], [0.251, 0.744, 0.502], [0.747, 0.741, 0.494], [0.749, 0.256, 0.006], [0.743, 0.744, 0.994], [0.257, 0.256, 0.006], [0.500, 0.500, 0.000], [0.000, 0.500, 0.500], [0.500, 0.500, 0.500], [0.000, 0.500, 0.000]],
  "crystal_system": "trigonal",
  "space_group": "R-3m (166)",
  "e_form_raw_ev_per_atom": -1.830
}

---

{
  "formula": "Na2YAs2",
  "functional": "PBE",
  "state": "relaxed",
  "cell": [[-3.133, -1.807, 1.866], [1.972, -3.557, -0.134], [2.320, -1.307, 7.068]],
  "species": ["As", "As", "Y", "Na", "Na"],
  "frac_coords": [[0.596, 0.596, 0.809], [0.404, 0.404, 0.191], [0.000, 0.000, 0.000], [0.250, 0.750, 0.500], [0.750, 0.250, 0.500]],
  "crystal_system": "tetragonal",
  "delta_e_f_ev_per_fu": -2.669,
  "space_group": "I4/mmm (139)",
  "de_polymorph_mev_per_atom": 0
}

---

{
  "formula": "La2Dy2Er15",
  "functional": "PBE",
  "state": "relaxed",
  "cell": [[-5.718, -6.392, 1.319], [-0.551, -3.204, -8.045], [5.419, -6.741, 0.695]],
  "species": ["Er", "Er", "Er", "Er", "Er", "Er", "Er", "Er", "Er", "Er", "Er", "Er", "Er", "Er", "Er", "Dy", "Dy", "La", "La"],
  "frac_coords": [[0.000, 0.694, 0.306], [0.154, 0.632, 0.632], [0.500, 0.000, 0.000], [0.632, 0.632, 0.154], [0.000, 0.500, 0.000], [0.306, 0.694, 0.000], [0.368, 0.368, 0.846], [0.694, 0.306, 0.000], [0.306, 0.000, 0.694], [0.846, 0.368, 0.368], [0.694, 0.000, 0.306], [0.368, 0.846, 0.368], [0.632, 0.154, 0.632], [0.000, 0.306, 0.694], [0.000, 0.000, 0.500], [0.331, 0.331, 0.331], [0.669, 0.669, 0.669], [0.882, 0.882, 0.882], [0.118, 0.118, 0.118]],
  "crystal_system": "trigonal",
  "delta_e_f_ev_per_fu": 5.454,
  "space_group": "R-3m (166)"
}

---

{
  "formula": "Mg2ZnPd",
  "functional": "PBE",
  "state": "relaxed",
  "cell": [[3.086, 0.000, 0.000], [1.543, 2.673, 0.000], [1.543, 0.891, 8.637]],
  "species": ["Mg", "Mg", "Zn", "Pd"],
  "frac_coords": [[0.079, 0.079, 0.764], [0.255, 0.255, 0.236], [0.500, 0.500, 0.499], [0.666, 0.666, 0.001]],
  "crystal_system": "trigonal",
  "delta_e_f_ev_per_fu": -1.059,
  "space_group": "R3m (160)"
}

---

{
  "formula": "K2RbBr",
  "functional": "PBE",
  "state": "relaxed",
  "cell": [[-9.634, 6.104, 2.947], [-1.020, -6.368, 9.857], [-3.311, 2.217, 8.128]],
  "species": ["K", "K", "K", "K", "Rb", "Rb", "Br", "Br"],
  "frac_coords": [[0.498, 0.125, 0.250], [0.375, 0.502, 0.750], [0.875, 0.748, 0.750], [0.252, 0.625, 0.250], [0.000, 0.000, 0.000], [0.750, 0.250, 0.500], [0.250, 0.750, 0.500], [0.500, 0.500, 0.000]],
  "crystal_system": "tetragonal",
  "space_group": "I-42d (122)",
  "de_polymorph_mev_per_atom": 74,
  "e_form_raw_ev_per_atom": -0.744
}

---

no.,calculated total energy (eV per atom),N(E_F) (states/eV per cell)
1,-1.341,8.64
2,-6.448,5.99
3,-4.214,2.66
4,-4.318,32.26
5,-2.679,2.10
6,-1.953,3.86